No. 1
Y4GaPt GGA-PBE relaxed; N(E_F) = 14.7 states/eV per cell; space-group type = C2/c (15); energy of formation from the pure elements = -0.552 eV/atom; M_tot = 0.00 μB/f.u.; calculated total energy = -76.47 eV per cell
1.0
-1.4664 1.7919 6.6029
-6.3175 -2.9244 -0.6950
6.4466 -5.4851 -0.7416
Y Ga Pt
8 2 2
Cartesian
-1.0718 -2.8735 4.2976
3.4638 -4.3921 5.6359
-2.2330 0.1591 3.0900
0.8957 -6.7768 2.0763
2.0736 -1.3794 4.6331
-3.4109 -5.2382 0.5332
-4.8011 -2.2255 -0.4696
-0.2655 -3.7442 0.8686
-2.8864 -2.5280 1.8565
1.5491 -4.0897 3.3098
-0.8758 -6.4497 -0.3387
-0.4615 -0.1680 5.5049

---

No. 2
YGa4Pt6 GGA-PBE relaxed; N(E_F) = 6.5 states/eV per cell; space-group type = I-42m (121); energy of formation from the pure elements = -0.523 eV/atom; E above lowest polymorph = 0.280 eV per atom; M_tot = 0.00 μB/f.u.; calculated total energy = -60.57 eV per cell
1.0
-3.1388 2.2100 -5.4200
5.4248 -3.7759 -0.6532
-2.8592 -4.6447 3.7900
Y Pt Ga
1 6 4
Cartesian
0.0000 0.0000 0.0000
2.9080 -4.9962 1.1934
-2.9990 -1.2173 -0.8150
1.1430 -0.7830 -3.0366
0.3987 -3.9321 -0.0255
-1.5366 -0.4251 -2.9481
0.2223 -5.2778 2.6339
-0.8585 -2.9496 1.9456
2.5471 -2.5925 0.1190
-0.6545 -2.6172 -1.7320
0.9583 -6.4718 0.5212

---

No. 3
YZnGaPt2 GGA-PBE relaxed; N(E_F) = 2.5 states/eV per cell; space-group type = I-4m2 (119); energy of formation from the pure elements = -0.879 eV/atom; M_tot = 0.00 μB/f.u.; calculated total energy = -27.24 eV per cell
1.0
3.9004 0.0000 0.0000
0.0000 3.9004 0.0000
-1.9502 -1.9502 6.1542
Pt Zn Y Ga
2 1 1 1
Cartesian
0.0000 0.0000 4.8001
1.9502 1.9502 1.3541
1.9502 0.0000 3.0771
0.0000 0.0000 0.0000
0.0000 1.9502 3.0771

---

No. 4
Y2ZnGa4Pt3 GGA-PBE relaxed; N(E_F) = 4.7 states/eV per cell; space-group type = P-4m2 (115); energy of formation from the pure elements = -0.854 eV/atom; M_tot = 0.00 μB/f.u.; calculated total energy = -52.98 eV per cell
1.0
-2.1886 -3.5128 0.4844
2.3500 -1.8631 -2.8932
6.8911 -3.2344 7.6802
Pt Zn Y Ga
3 1 2 4
Cartesian
3.4455 -1.6172 3.8401
4.8530 -4.5478 6.8706
2.1188 -1.3745 -0.3947
3.5262 -4.3051 2.6357
0.6060 -2.5544 2.1372
6.3658 -3.3679 4.3386
0.0000 0.0000 0.0000
3.6883 -2.1112 1.3545
0.0807 -2.6879 -1.2044
3.2835 -3.8112 5.1213

---

No. 5
Y2ZnGaPt GGA-PBE relaxed; N(E_F) = 4.3 states/eV per cell; space-group type = P4/mmm (123); energy of formation from the pure elements = -0.014 eV/atom; M_tot = 0.00 μB/f.u.; calculated total energy = -23.34 eV per cell
1.0
5.4202 0.0000 0.0000
0.0000 4.6361 0.0000
0.0000 0.0000 5.4202
Ga Pt Y Zn
1 1 2 1
Cartesian
2.7101 2.3180 2.7101
0.0000 2.3180 0.0000
2.7101 0.0000 0.0000
0.0000 0.0000 2.7101
0.0000 0.0000 0.0000

---

No. 6
Y2ZnGa2Pt5 GGA-PBE relaxed; N(E_F) = 10.8 states/eV per cell; space-group type = P4/mbm (127); energy of formation from the pure elements = -0.835 eV/atom; M_tot = 0.00 μB/f.u.; calculated total energy = -117.61 eV per cell
1.0
3.7481 0.0000 0.0000
0.0000 9.7390 0.0000
0.0000 0.0000 9.7390
Ga Y Pt Zn
4 4 10 2
Cartesian
0.0000 1.2138 6.0833
0.0000 8.5252 3.6557
0.0000 6.0833 8.5252
0.0000 3.6557 1.2138
0.0000 8.0332 6.5754
0.0000 3.1637 8.0332
0.0000 1.7059 3.1637
0.0000 6.5754 1.7059
1.8741 2.8939 5.4831
1.8741 4.2559 2.8939
1.8741 7.7635 9.1254
1.8741 5.4831 6.8451
1.8741 9.1254 1.9756
1.8741 0.0000 4.8695
1.8741 6.8451 4.2559
1.8741 0.6136 7.7635
1.8741 4.8695 0.0000
1.8741 1.9756 0.6136
0.0000 4.8695 4.8695
0.0000 0.0000 0.0000

---

No. 7
YZnGa2Pt2 GGA-PBE relaxed; N(E_F) = 2.5 states/eV per cell; space-group type = P-3m1 (164); energy of formation from the pure elements = -0.804 eV/atom; M_tot = 0.00 μB/f.u.; calculated total energy = -30.70 eV per cell
1.0
4.3756 0.0000 0.0000
-2.1878 3.7894 0.0000
0.0000 0.0000 6.4913
Pt Zn Ga Y
2 1 2 1
Cartesian
0.0000 2.5263 1.8685
2.1878 1.2631 4.6228
0.0000 0.0000 3.2456
2.1878 1.2631 1.8932
0.0000 2.5263 4.5981
0.0000 0.0000 0.0000

---

No. 8
YbGaPt GGA-PBE relaxed; N(E_F) = 51.1 states/eV per cell; space-group type = Pnma (62); energy of formation from the pure elements = -1.025 eV/atom; M_tot = 0.18 μB/f.u.; calculated total energy = -54.68 eV per cell
1.0
-2.4865 -2.9983 2.0219
3.4020 -5.1137 -3.3993
5.1497 -0.3948 5.7477
Ga Yb Pt
4 4 4
Cartesian
6.9971 -5.3904 2.9931
2.5942 -5.8131 1.7146
3.4710 -2.6936 2.6557
-0.9319 -3.1163 1.3772
2.0008 -3.2992 -0.0503
4.3247 -5.9038 -1.0548
1.7405 -2.6029 5.4250
4.0644 -5.2075 4.4206
4.7154 -2.2066 4.9083
4.9361 -4.6500 1.5564
1.3498 -6.3001 -0.5380
1.1291 -3.8567 2.8138

---

No. 9
Zn2GaPt9 GGA-PBE relaxed; N(E_F) = 10.3 states/eV per cell; space-group type = P4/mmm (123); energy of formation from the pure elements = -0.369 eV/atom; M_tot = 0.00 μB/f.u.; calculated total energy = -64.37 eV per cell
1.0
3.9335 0.0000 0.0000
0.0000 3.9335 0.0000
0.0000 0.0000 11.8119
Pt Zn Ga
9 2 1
Cartesian
1.9668 1.9668 7.8757
1.9668 0.0000 1.9714
0.0000 1.9668 1.9714
1.9668 1.9668 0.0000
1.9668 0.0000 9.8405
1.9668 1.9668 3.9362
0.0000 1.9668 5.9059
0.0000 1.9668 9.8405
1.9668 0.0000 5.9059
0.0000 0.0000 3.9504
0.0000 0.0000 7.8615
0.0000 0.0000 0.0000

---

No. 10
ZnGa2Pt GGA-PBE relaxed; N(E_F) = 1.3 states/eV per cell; space-group type = R3m (160); energy of formation from the pure elements = -0.356 eV/atom; M_tot = 0.00 μB/f.u.; calculated total energy = -14.79 eV per cell
1.0
-0.6580 4.1827 -0.2733
-0.3523 1.8481 -3.8030
-4.7199 1.3255 -1.2855
Ga Zn Pt
2 1 1
Cartesian
-3.8297 1.4645 -1.3004
-1.1902 1.8769 -1.3445
-3.0604 3.6476 -2.6776
-5.2351 5.3707 -4.0057

---

No. 11
Zn3GaPt GGA-PBE relaxed; N(E_F) = 2.4 states/eV per cell; space-group type = Pm-3m (221); energy of formation from the pure elements = 0.591 eV/atom; E above lowest polymorph = 0.791 eV per atom; M_tot = 0.00 μB/f.u.; calculated total energy = -9.94 eV per cell
1.0
4.5958 0.0000 0.0000
0.0000 4.5958 0.0000
0.0000 0.0000 4.5958
Zn Pt Ga
3 1 1
Cartesian
0.0000 2.2979 0.0000
2.2979 0.0000 0.0000
0.0000 0.0000 2.2979
2.2979 2.2979 2.2979
0.0000 0.0000 0.0000

---

No. 12
Zn2GaPt8 GGA-PBE relaxed; N(E_F) = 7.7 states/eV per cell; space-group type = C2/m (12); energy of formation from the pure elements = -0.256 eV/atom; E above lowest polymorph = 0.085 eV per atom; M_tot = 0.00 μB/f.u.; calculated total energy = -56.72 eV per cell
1.0
-2.0616 -2.9550 -1.8332
4.7578 -2.2626 -1.7035
-0.6682 -1.8260 8.1525
Pt Zn Ga
8 2 1
Cartesian
3.0970 -4.6543 -0.4380
-1.0690 -2.3893 5.0538
0.7319 -2.1067 2.5728
1.2961 -4.9369 2.0430
-1.4483 -5.1991 5.5520
3.4762 -1.8445 -0.9362
1.3401 -3.8610 4.7166
0.6878 -3.1826 -0.1008
2.9132 -2.9199 1.4305
-0.8852 -4.1237 3.1853
-1.0308 -1.4775 -0.9166

---

No. 13
ZnGa2Pt GGA-PBE relaxed; N(E_F) = 1.9 states/eV per cell; space-group type = R-3m (166); energy of formation from the pure elements = -0.179 eV/atom; M_tot = 0.00 μB/f.u.; calculated total energy = -14.08 eV per cell
1.0
2.9916 0.0000 0.0000
1.4958 2.5908 0.0000
1.4958 0.8636 9.0238
Zn Ga Pt
1 2 1
Cartesian
0.0000 0.0000 0.0000
4.4874 2.5908 2.5059
1.4958 0.8636 6.5179
2.9916 1.7272 4.5119

---

No. 14
Zn4Ga3Pt4 GGA-PBE relaxed; N(E_F) = 2.5 states/eV per cell; space-group type = Immm (71); energy of formation from the pure elements = -0.451 eV/atom; M_tot = 0.00 μB/f.u.; calculated total energy = -43.30 eV per cell
1.0
-1.4499 -2.4306 0.2811
2.9651 -0.9535 7.0485
-6.9127 5.7263 -0.5298
Ga Zn Pt
3 4 4
Cartesian
-4.2259 1.5743 6.2031
-1.1716 0.7679 0.5968
1.4826 -0.4767 3.5242
-1.7676 -0.2171 3.3933
-0.6883 -0.5642 5.9589
-3.6299 2.5593 3.4065
-4.7092 2.9064 0.8409
-0.0706 -1.4257 1.6961
1.5858 -1.9584 5.6335
-3.5630 0.6448 1.5861
-1.8345 1.6974 5.2137

---

No. 15
Zn3GaPt2 GGA-PBE relaxed; N(E_F) = 4.3 states/eV per cell; space-group type = Cmcm (63); energy of formation from the pure elements = -0.359 eV/atom; E above lowest polymorph = 0.000 eV per atom; M_tot = 0.00 μB/f.u.; calculated total energy = -42.17 eV per cell
1.0
-3.7666 -1.6393 -0.8576
1.1197 1.1400 -7.0976
2.3196 -6.5135 2.2633
Zn Ga Pt
6 2 4
Cartesian
-1.2643 -6.9579 -1.5392
1.2812 -5.7083 -4.8314
-3.4362 -2.1000 -1.2766
-1.8710 -3.0879 -6.2725
-0.2875 -4.7219 0.1637
-0.8942 -0.8519 -4.5695
-0.8299 -2.4129 -1.8664
-1.3280 -5.3967 -4.2422
0.4253 -5.0557 -2.3295
-2.5840 -2.7542 -3.7792
-2.3013 -4.5579 -1.5731
0.1425 -3.2520 -4.5357

---

No. 16
ZnGa2Pt GGA-PBE relaxed; N(E_F) = 11.7 states/eV per cell; space-group type = Pnma (62); energy of formation from the pure elements = -0.405 eV/atom; M_tot = 0.00 μB/f.u.; calculated total energy = -119.90 eV per cell
1.0
4.8558 0.0000 0.0000
0.0000 7.9107 0.0000
0.0000 0.0000 14.0889
Zn Pt Ga
8 8 16
Cartesian
2.2439 1.9777 1.9377
1.1752 5.9330 8.6346
0.1840 1.9777 8.9821
3.6031 1.9777 12.4987
2.6119 5.9330 12.1512
3.6806 1.9777 5.4543
4.6717 5.9330 5.1067
1.2527 5.9330 1.5902
4.6412 1.9777 0.9560
3.6474 5.9330 2.5955
2.2133 5.9330 6.0884
3.6362 5.9330 9.6400
1.2196 1.9777 4.4489
2.6425 1.9777 8.0005
0.2146 5.9330 13.1328
1.2083 1.9777 11.4933
2.2845 4.3144 4.1057
2.5713 3.5962 9.9832
1.1411 3.5600 6.5907
1.1411 0.3953 6.5907
1.2868 3.5600 13.6351
3.5690 7.5154 0.4537
2.2845 7.5516 4.1057
4.7123 0.3591 2.9388
3.7147 7.5154 7.4982
2.5713 0.3591 9.9832
0.1434 4.3144 11.1501
4.7123 3.5962 2.9388
3.7147 4.3506 7.4982
0.1434 7.5516 11.1501
1.2868 0.3953 13.6351
3.5690 4.3506 0.4537

---

No. 17
Zn8Ga2Pt GGA-PBE relaxed; N(E_F) = 3.0 states/eV per cell; space-group type = C2/m (12); energy of formation from the pure elements = -0.095 eV/atom; M_tot = 0.00 μB/f.u.; calculated total energy = -23.33 eV per cell
1.0
4.4209 0.0000 0.0000
0.0000 4.9460 -0.1952
-2.2104 -2.3264 8.4216
Zn Ga Pt
8 2 1
Cartesian
2.2104 2.3440 1.2581
2.2104 2.0856 4.0751
0.0000 0.5340 4.1513
0.0000 3.7151 0.1918
2.2104 -1.0955 8.0346
0.0000 2.6858 5.6698
0.0000 0.2756 6.9683
2.2104 -0.0662 2.5566
0.0000 3.1086 2.8251
2.2104 -0.4890 5.4013
2.2104 0.0000 0.0000

---

No. 18
Zn2Ga5Pt3 GGA-PBE relaxed; N(E_F) = 6.3 states/eV per cell; space-group type = P-1 (2); energy of formation from the pure elements = -0.410 eV/atom; M_tot = 0.00 μB/f.u.; calculated total energy = -79.82 eV per cell
1.0
5.1485 -0.5163 -0.7688
-1.6727 7.4428 -1.9185
-0.1884 0.0976 8.9294
Pt Ga Zn
6 10 4
Cartesian
1.4626 3.4517 5.3714
4.3669 1.0202 3.4857
2.1879 6.8655 -2.2474
-1.0795 6.0039 2.7563
1.0996 0.1586 8.4895
1.8248 3.5724 0.8706
0.5473 5.9407 4.7293
3.3952 4.8607 6.2699
2.9853 3.5560 3.2731
2.2804 2.2332 7.5438
-1.3723 7.3949 0.5028
0.3022 3.4681 2.9689
2.7401 1.0834 1.5127
1.0071 4.7909 -1.3018
-0.1078 2.1633 -0.0279
4.6597 -0.3708 5.7392
-0.8748 4.5838 0.6328
1.3939 6.0866 1.6416
1.8935 0.9375 4.6004
4.1623 2.4403 5.6092

---

No. 19
ZnGa2Pt GGA-PBE relaxed; N(E_F) = 1.5 states/eV per cell; space-group type = P4/mmm (123); energy of formation from the pure elements = -0.215 eV/atom; M_tot = 0.00 μB/f.u.; calculated total energy = -14.23 eV per cell
1.0
-1.4142 -2.1397 2.9455
0.1484 -3.2674 -2.3023
3.7254 -0.7217 1.2644
Ga Zn Pt
2 1 1
Cartesian
0.0742 -1.6337 -1.1512
1.8627 -0.3609 0.6322
1.2298 -3.0644 0.9538
-0.7071 -1.0699 1.4728

---

No. 20
Zn8GaPt2 GGA-PBE relaxed; N(E_F) = 3.4 states/eV per cell; space-group type = C2/m (12); energy of formation from the pure elements = -0.185 eV/atom; M_tot = 0.00 μB/f.u.; calculated total energy = -27.33 eV per cell
1.0
5.0735 -0.5144 -0.3903
-0.6374 6.5333 0.9743
-0.6374 2.6975 6.0297
Zn Pt Ga
8 2 1
Cartesian
1.3751 4.5427 5.0731
0.0249 3.7592 2.8523
3.6067 1.5424 1.1703
1.3751 6.1089 3.0089
2.4235 4.1737 1.5405
3.7737 4.9572 3.7613
0.1919 7.1740 5.4433
2.4235 2.6075 3.6048
2.7672 6.8678 5.2110
1.0314 1.8486 1.4026
0.0000 0.0000 0.0000

---

No. 21
ZnGa12Pt7 GGA-PBE relaxed; N(E_F) = 2.8 states/eV per cell; space-group type = R-3 (148); energy of formation from the pure elements = -0.452 eV/atom; M_tot = 0.00 μB/f.u.; calculated total energy = -88.93 eV per cell
1.0
4.8782 0.0000 -1.0040
-2.5707 8.1164 -4.2552
0.2632 0.0000 9.5143
Ga Pt Zn
12 7 1
Cartesian
1.0863 3.0218 3.0930
1.4844 5.0946 1.1622
2.3055 0.3707 2.1227
-0.6316 4.3241 -0.8835
1.7348 2.0178 7.5851
3.2772 2.3884 0.2964
0.8359 6.0986 -3.3299
0.2652 7.7457 2.1324
-0.1603 1.3023 5.2714
-0.7065 5.7280 3.9587
3.2023 3.7923 5.1387
2.7310 6.8141 -1.0163
-1.4980 6.1358 -2.2699
1.8056 5.2549 3.7644
4.0687 1.9806 6.5250
2.4391 0.0000 -0.5020
2.6442 7.2355 1.3858
0.7651 2.8615 0.4907
-0.0735 0.8809 2.8693
0.0000 0.0000 0.0000